Below is an optimized crystal structure of Th2Np3S8, with properties calculated at the PBE level.

Computed properties:
**Formation energy from raw total energies**: -1573 meV per atom
**Symmetry**: No. 65
**V**: 23.157 Å³/atom

```
13
Lattice="4.718 0.000 0.000 0.000 8.189 -4.707 0.000 -0.729 8.212" Properties=species:S:1:pos:R:3 pbc="T T T"
Np 0.000 1.445 6.962
S 4.717 2.527 4.399
S 4.718 0.809 1.408
S 2.359 2.806 0.293
S 0.000 6.651 2.098
S 2.359 0.431 5.639
S 2.359 7.029 -2.134
Th 2.359 5.693 0.430
Np 2.359 0.000 0.000
Np 0.000 6.015 -3.457
S 2.359 4.654 3.212
S 0.000 4.933 -0.894
Th 2.359 1.767 3.076
```

Below is an optimized crystal structure of Th3NpS4, with properties calculated at the PBE level.

Computed properties:
**Formation energy from raw total energies**: -1731 meV per atom
**Symmetry**: No. 13
**V**: 22.830 Å³/atom

```
16
Lattice="-4.655 -4.961 -1.246 1.058 0.572 6.835 -5.948 5.464 0.464" Properties=species:S:1:pos:R:3 pbc="T T T"
S -7.299 2.464 1.431
Th -3.692 -2.765 2.540
Th -4.886 2.179 -0.021
Np -1.902 -0.562 -0.254
Th -5.716 -1.677 -0.761
S -2.245 -1.390 4.622
S -8.120 -1.368 0.737
Th -2.853 1.083 3.279
Th -6.691 -0.009 2.774
Th -5.853 3.839 3.513
S -1.424 2.443 5.316
S -5.286 1.371 4.812
S -4.429 5.235 5.596
Np -8.701 1.065 -0.528
S -4.259 -0.297 1.240
S -5.116 -4.161 0.456
```